# 1
A relaxed RbNa crystal, computed with PBE.

* uncorrected energy: -0.0407 Ha/atom
* calculated volume: 126 Å³/f.u.

Lattice parameters (Å, degrees): 4.924 6.430 8.322 90.00 106.98 90.00
Space group P2_1/m (No. 11)
Symmetry-distinct sites (fractional):
Rb1 0.155 0.250 0.313 [2 per cell]
Na1 0.439 0.250 0.875 [2 per cell]

=====

# 2
A relaxed MnV2Ni6 crystal, computed with PBE.

* excess energy over the best structure of this formula in the dataset: 0.43 eV/f.u.
* uncorrected energy: -0.2549 Ha/atom
* calculated volume: 104 Å³/f.u.

Lattice parameters (Å, degrees): 12.135 7.006 2.438 90.00 90.02 90.00
Space group C2/m (No. 12)
Symmetry-distinct sites (fractional):
Mn1 0.000 0.000 0.000 [2 per cell]
V1 0.167 0.500 0.000 [4 per cell]
Ni1 0.000 0.333 0.500 [4 per cell]
Ni2 0.166 0.166 0.491 [8 per cell]

=====

# 3
A relaxed Sr4TbTh3As8 crystal, computed with PBE.

* uncorrected energy: -0.2110 Ha/atom
* calculated volume: 471 Å³/f.u.

Lattice parameters (Å, degrees): 8.6908 8.6908 21.6106 90.00 90.00 120.00
Space group R-3m (No. 166, hexagonal axes)
Symmetry-distinct sites (fractional):
Sr1 0.0000 0.0000 0.0000 [3 per cell]
Sr2 0.0000 0.5000 0.0000 [9 per cell]
Tb1 0.0000 0.0000 0.5000 [3 per cell]
Th1 0.0000 0.5000 0.5000 [9 per cell]
As1 0.0000 0.0000 0.2425 [6 per cell]
As2 0.0013 0.5007 0.2421 [18 per cell]

=====

# 4
A relaxed Sm4GeN crystal, computed with PBE.

* formation energy without anion corrections: -0.63 eV/atom
* uncorrected energy: -0.2181 Ha/atom
* calculated volume: 169 Å³/f.u.

Lattice parameters (Å, degrees): 5.922 9.743 5.945 90.00 99.34 90.00
Space group P2_1/m (No. 11)
Symmetry-distinct sites (fractional):
Sm1 0.147 0.250 0.246 [2 per cell]
Sm2 0.253 0.750 0.355 [2 per cell]
Sm3 0.276 0.045 0.775 [4 per cell]
Ge1 0.390 0.750 0.892 [2 per cell]
N1 0.130 0.250 0.627 [2 per cell]

=====

# 5
A relaxed ZrSiRh2 crystal, computed with PBE.

* formation energy without anion corrections: -0.73 eV/atom
* uncorrected energy: -0.2904 Ha/atom
* calculated volume: 62 Å³/f.u.

Lattice parameters (Å, degrees): 4.112 4.112 3.681 90.00 90.00 90.00
Space group P4/mmm (No. 123)
Symmetry-distinct sites (fractional):
Zr1 0.000 0.000 0.000 [1 per cell]
Si1 0.500 0.500 0.000 [1 per cell]
Rh1 0.000 0.500 0.500 [2 per cell]

=====

# 6
A relaxed NaGeCO5 crystal, computed with PBE.

* formation energy without anion corrections: -1.19 eV/atom
* uncorrected energy: -0.2273 Ha/atom
* calculated volume: 80 Å³/f.u.

Lattice parameters (Å, degrees): 6.503 8.409 6.559 90.00 116.89 90.00
Space group C2/c (No. 15)
Symmetry-distinct sites (fractional):
Na1 0.000 0.160 0.250 [4 per cell]
Ge1 0.000 0.500 0.000 [4 per cell]
C1 0.000 0.203 0.750 [4 per cell]
O1 0.000 0.418 0.250 [4 per cell]
O2 0.097 0.291 0.636 [8 per cell]
O3 0.156 0.089 0.902 [8 per cell]

=====

# 7
A relaxed MgTlIn2Te4 crystal, computed with PBE.

* formation energy without anion corrections: -0.35 eV/atom
* uncorrected energy: -0.1140 Ha/atom
* calculated volume: 330 Å³/f.u.

Lattice parameters (Å, degrees): 7.114 7.114 13.028 90.00 90.00 90.00
Space group I-42m (No. 121)
Symmetry-distinct sites (fractional):
Mg1 0.000 0.000 0.000 [2 per cell]
Tl1 0.000 0.000 0.500 [2 per cell]
In1 0.000 0.500 0.250 [4 per cell]
Te1 0.220 0.220 0.866 [8 per cell]

=====

# 8
A relaxed Ba2CaNi crystal, computed with PBE.

* excess energy over the best structure of this formula in the dataset: 0.26 eV/f.u.
* uncorrected energy: -0.1024 Ha/atom
* calculated volume: 158 Å³/f.u.

Lattice parameters (Å, degrees): 3.909 3.909 10.310 90.00 90.00 90.00
Space group P4/mmm (No. 123)
Symmetry-distinct sites (fractional):
Ba1 0.000 0.000 0.176 [2 per cell]
Ca1 0.500 0.500 0.500 [1 per cell]
Ni1 0.500 0.500 0.000 [1 per cell]

=====

# 9
A relaxed PuSi2Rh3 crystal, computed with PBE.

* formation energy without anion corrections: -0.82 eV/atom
* uncorrected energy: -0.3193 Ha/atom
* calculated volume: 97 Å³/f.u.

Lattice parameters (Å, degrees): 16.089 3.944 9.677 90.00 108.14 90.00
Space group C2/m (No. 12)
Symmetry-distinct sites (fractional):
Pu1 0.000 0.000 0.000 [2 per cell]
Pu2 0.162 0.000 0.702 [4 per cell]
Si1 0.038 0.500 0.775 [4 per cell]
Si2 0.138 0.500 0.449 [4 per cell]
Si3 0.194 0.000 0.125 [4 per cell]
Rh1 0.000 0.500 0.500 [2 per cell]
Rh2 0.041 0.000 0.331 [4 per cell]
Rh3 0.118 0.500 0.196 [4 per cell]
Rh4 0.178 0.500 0.958 [4 per cell]
Rh5 0.218 0.000 0.392 [4 per cell]

=====

# 10
A relaxed NiIBr2 crystal, computed with PBE.

* formation energy without anion corrections: 0.26 eV/atom
* excess energy over the best structure of this formula in the dataset: 1.77 eV/f.u.
* uncorrected energy: -0.0887 Ha/atom
* calculated volume: 147 Å³/f.u.

Lattice parameters (Å, degrees): 4.492 4.492 14.560 90.00 90.00 90.00
Space group I4mm (No. 107)
Symmetry-distinct sites (fractional):
Ni1 0.000 0.000 0.000 [2 per cell]
I1 0.000 0.000 0.705 [2 per cell]
Br1 0.000 0.500 0.450 [4 per cell]

=====

# 11
A relaxed LiMgV crystal, computed with PBE.

* excess energy over the best structure of this formula in the dataset: 2.31 eV/f.u.
* uncorrected energy: -0.1183 Ha/atom
* calculated volume: 72 Å³/f.u.

Lattice parameters (Å, degrees): 6.604 6.604 6.604 90.00 90.00 90.00
Space group F-43m (No. 216)
Symmetry-distinct sites (fractional):
Li1 0.000 0.000 0.000 [4 per cell]
Mg1 0.250 0.250 0.250 [4 per cell]
V1 0.000 0.000 0.500 [4 per cell]

=====

# 12
A relaxed BC4 crystal, computed with PBE.

* excess energy over the best structure of this formula in the dataset: 0.23 eV/f.u.
* uncorrected energy: -0.3103 Ha/atom
* calculated volume: 30 Å³/f.u.

Lattice parameters (Å, degrees): 8.579 2.509 6.401 90.00 117.87 90.00
Space group Cm (No. 8)
Symmetry-distinct sites (fractional):
B1 0.000 0.000 0.000 [2 per cell]
B2 0.195 0.000 0.801 [2 per cell]
C1 0.106 0.500 0.408 [2 per cell]
C2 0.118 0.500 0.178 [2 per cell]
C3 0.201 0.000 0.552 [2 per cell]
C4 0.308 0.500 0.979 [2 per cell]
C5 0.309 0.500 0.217 [2 per cell]
C6 0.400 0.000 0.602 [2 per cell]
C7 0.408 0.000 0.362 [2 per cell]
C8 0.489 0.500 0.742 [2 per cell]